CrI2F | GGA+U | optimized geometry

a b c (Å): 7.0774 7.0774 7.0774
angles (deg): 90.00 90.00 90.00
Sites, in units of the cell vectors:
1 Cr 0.0000 0.0000 0.0000
2 Cr 0.0000 0.5000 0.5000
3 Cr 0.5000 0.0000 0.5000
4 Cr 0.5000 0.5000 0.0000
5 I 0.2500 0.2500 0.2500
6 I 0.2500 0.2500 0.7500
7 I 0.2500 0.7500 0.2500
8 I 0.2500 0.7500 0.7500
9 I 0.7500 0.2500 0.2500
10 I 0.7500 0.2500 0.7500
11 I 0.7500 0.7500 0.2500
12 I 0.7500 0.7500 0.7500
13 F 0.0000 0.0000 0.5000
14 F 0.0000 0.5000 0.0000
15 F 0.5000 0.0000 0.0000
16 F 0.5000 0.5000 0.5000

Calculated values
Energy relative to the lowest polymorph listed for this composition (meV per atom): 48
Density (g/cm³): 6.1
Space-group type: Fm-3m, No. 225